# 1
An optimized crystal structure of La2ScP2Cl2, computed with PBE-GGA.

Values from the calculation:
Formation energy (no corrections) in meV per atom: -1596
Fermi-level density of states in states/eV per cell: 4.61
M_tot in μB per cell: 0.75
Crystal system: tetragonal
Space-group type: I4/mmm, No. 139

Lattice parameters (Å, degrees): 5.0307 5.0307 8.2515 107.75 107.75 90.00
Site moments in Bohr magnetons follow the coordinates.
Sites, in units of the cell vectors:
Cl 0.8097 0.8097 0.6193  0.01
Cl 0.1903 0.1903 0.3807  0.01
Sc 0.0000 0.0000 0.0000  0.07
La 0.3880 0.3880 0.7760  0.19
La 0.6120 0.6120 0.2240  0.19
P 0.5000 0.0000 0.0000  -0.01
P 0.0000 0.5000 0.0000  -0.01

# 2
An optimized crystal structure of CaNb3Br, computed with PBE-GGA.

Values from the calculation:
Formation energy (no corrections) in meV per atom: 2387
Fermi-level density of states in states/eV per cell: 7.06
M_tot in μB per cell: 0.00
Crystal system: cubic
Space-group type: Pm-3m, No. 221

Lattice parameters (Å, degrees): 4.9390 4.9390 4.9390 90.00 90.00 90.00
Sites, in units of the cell vectors:
Nb 0.0000 0.5000 0.0000
Nb 0.5000 0.0000 0.0000
Nb 0.0000 0.0000 0.5000
Ca 0.0000 0.0000 0.0000
Br 0.5000 0.5000 0.5000

# 3
An optimized crystal structure of Ta3SnSe, computed with PBE-GGA.

Values from the calculation:
Formation energy (no corrections) in meV per atom: 841
Fermi-level density of states in states/eV per cell: 5.87
M_tot in μB per cell: 0.00
Crystal system: cubic
Space-group type: Pm-3m, No. 221

Lattice parameters (Å, degrees): 4.7473 4.7473 4.7473 90.00 90.00 90.00
Sites, in units of the cell vectors:
Ta 0.0000 0.0000 0.5000
Ta 0.0000 0.5000 0.0000
Ta 0.5000 0.0000 0.0000
Sn 0.5000 0.5000 0.5000
Se 0.0000 0.0000 0.0000

# 4
An optimized crystal structure of CdH3Ir, computed with PBE-GGA.

Values from the calculation:
Total energy in eV/cell: -13.6
Fermi-level density of states in states/eV per cell: 0.68
M_tot in μB per cell: 0.00
Crystal system: cubic
Space-group type: Pm-3m, No. 221

Lattice parameters (Å, degrees): 3.6677 3.6677 3.6677 90.00 90.00 90.00
Sites, in units of the cell vectors:
Cd 0.0000 0.0000 0.0000
H 0.0000 0.0000 0.5000
H 0.0000 0.5000 0.0000
H 0.5000 0.0000 0.0000
Ir 0.5000 0.5000 0.5000